# YMgGaO4, optimized geometry, DFT PBE
data_YMgGaO4
_cell_length_a 6.202
_cell_length_b 6.253
_cell_length_c 6.253
_cell_angle_alpha 61.78
_cell_angle_beta 60.27
_cell_angle_gamma 60.27
_symmetry_space_group_name_H-M 'P 1'
_symmetry_Int_Tables_number 1
loop_
_symmetry_equiv_pos_as_xyz
'x,y,z'
loop_
_atom_site_label
_atom_site_type_symbol
_atom_site_fract_x
_atom_site_fract_y
_atom_site_fract_z
Ga1 Ga 0.376 0.374 0.874
Ga2 Ga 0.624 0.626 0.126
O1 O 0.739 0.758 0.258
O2 O 0.743 0.253 0.262
O3 O 0.261 0.242 0.742
O4 O 0.755 0.242 0.742
O5 O 0.257 0.238 0.247
O6 O 0.257 0.747 0.738
O7 O 0.743 0.762 0.753
O8 O 0.245 0.758 0.258
Y1 Y 0.000 0.000 0.000
Y2 Y 0.000 0.500 0.500
Mg1 Mg 0.500 0.000 0.500
Mg2 Mg 0.000 0.000 0.500
# **Formation energy (no corrections)**: -2.589 eV/atom
# **Total energy**: -7.01 eV/atom
# **Total moment**: 0.00 μB per formula unit


# MgGa2Os2, optimized geometry, DFT PBE
data_MgGa2Os2
_cell_length_a 4.131
_cell_length_b 4.131
_cell_length_c 6.029
_cell_angle_alpha 69.96
_cell_angle_beta 69.96
_cell_angle_gamma 90.00
_symmetry_space_group_name_H-M 'P 1'
_symmetry_Int_Tables_number 1
loop_
_symmetry_equiv_pos_as_xyz
'x,y,z'
loop_
_atom_site_label
_atom_site_type_symbol
_atom_site_fract_x
_atom_site_fract_y
_atom_site_fract_z
Ga1 Ga 0.750 0.250 0.500
Ga2 Ga 0.250 0.750 0.500
Os1 Os 0.612 0.612 0.775
Os2 Os 0.388 0.388 0.225
Mg1 Mg 0.000 0.000 0.000
# **Formation energy**: 1.27 eV/f.u.
# **Total energy**: -5.77 eV/atom
# **Total moment**: 0.00 μB per formula unit


- total energy of number 1 (YMgGaO4)?
  -7.01 eV/atom


- Which of these has the lowest total energy?
  YMgGaO4


- Which of these has the highest total energy?
  MgGa2Os2